Record 1
# LaTbSmEr3 | Alexandria via LeMat-Bulk | GGA-PBE | relaxed
data_LaTbSmEr3
_chemical_formula_sum 'La4 Tb4 Sm4 Er12'
_cell_length_a 19.744
_cell_length_b 5.613
_cell_length_c 7.110
_cell_angle_alpha 90.00
_cell_angle_beta 90.50
_cell_angle_gamma 90.00
_space_group_name_H-M_alt 'C 1 2/m 1'
_space_group_IT_number 12
loop_
_space_group_symop_operation_xyz
'x,y,z'
'-x,-y,-z'
'-x,y,-z'
'x,-y,z'
'x+1/2,y+1/2,z'
'-x+1/2,-y+1/2,-z'
'-x+1/2,y+1/2,-z'
'x+1/2,-y+1/2,z'
loop_
_atom_site_label
_atom_site_type_symbol
_atom_site_fract_x
_atom_site_fract_y
_atom_site_fract_z
_atom_site_occupancy
La1 La 0.145 0.000 0.035 1
Tb1 Tb 0.150 0.000 0.458 1
Sm1 Sm 0.053 0.500 0.268 1
Er1 Er 0.024 0.000 0.735 1
Er2 Er 0.164 0.500 0.731 1
Er3 Er 0.221 0.500 0.243 1
# Crystal system: monoclinic
# ΔE_f (eV/atom): 0.199
# Theoretical density (g cm⁻³): 8.009

Record 2
# Pd8WAu2 | Alexandria via LeMat-Bulk | GGA-PBE | relaxed
data_Pd8WAu2
_chemical_formula_sum 'Pd16 W2 Au4'
_cell_length_a 8.141
_cell_length_b 10.921
_cell_length_c 4.191
_cell_angle_alpha 90.00
_cell_angle_beta 90.00
_cell_angle_gamma 90.00
_space_group_name_H-M_alt 'C m m m'
_space_group_IT_number 65
_space_group_name_Hall '-C 2 2'
loop_
_atom_site_label
_atom_site_type_symbol
_atom_site_fract_x
_atom_site_fract_y
_atom_site_fract_z
_atom_site_occupancy
Pd1 Pd 0.000 0.232 0.000 1
Pd2 Pd 0.165 0.126 0.500 1
Pd3 Pd 0.177 0.500 0.000 1
W1 W 0.000 0.000 0.000 1
Au1 Au 0.000 0.376 0.500 1
# Crystal system: orthorhombic
# ΔE_f (eV/atom): 0.066
# Theoretical density (g cm⁻³): 12.736

Record 3
# Li2Dy3Pb4 | Alexandria via LeMat-Bulk | GGA-PBE | relaxed
data_Li2Dy3Pb4
_chemical_formula_sum 'Li4 Dy6 Pb8'
_cell_length_a 11.715
_cell_length_b 4.635
_cell_length_c 8.959
_cell_angle_alpha 90.00
_cell_angle_beta 108.80
_cell_angle_gamma 90.00
_space_group_name_H-M_alt 'C 1 2/m 1'
_space_group_IT_number 12
loop_
_space_group_symop_operation_xyz
'x,y,z'
'-x,-y,-z'
'-x,y,-z'
'x,-y,z'
'x+1/2,y+1/2,z'
'-x+1/2,-y+1/2,-z'
'-x+1/2,y+1/2,-z'
'x+1/2,-y+1/2,z'
loop_
_atom_site_label
_atom_site_type_symbol
_atom_site_fract_x
_atom_site_fract_y
_atom_site_fract_z
_atom_site_occupancy
Li1 Li 0.194 0.000 0.380 1
Dy1 Dy 0.000 0.500 0.000 1
Dy2 Dy 0.126 0.000 0.693 1
Pb1 Pb 0.078 0.500 0.382 1
Pb2 Pb 0.200 0.000 0.082 1
# Crystal system: monoclinic
# ΔE_f (eV/atom): -0.413
# Theoretical density (g cm⁻³): 9.593

Record 4
# BeBAs3 | Alexandria via LeMat-Bulk | GGA-PBE | relaxed
data_BeBAs3
_chemical_formula_sum 'Be1 B1 As3'
_cell_length_a 4.361
_cell_length_b 4.361
_cell_length_c 4.361
_cell_angle_alpha 90.00
_cell_angle_beta 90.00
_cell_angle_gamma 90.00
_space_group_name_H-M_alt 'P m -3 m'
_space_group_IT_number 221
_space_group_name_Hall '-P 4 2 3'
loop_
_atom_site_label
_atom_site_type_symbol
_atom_site_fract_x
_atom_site_fract_y
_atom_site_fract_z
_atom_site_occupancy
Be1 Be 0.000 0.000 0.000 1
B1 B 0.500 0.500 0.500 1
As1 As 0.000 0.500 0.500 1
# Crystal system: cubic
# ΔE_f (eV/atom): 1.055
# Theoretical density (g cm⁻³): 4.897

Record 5
# Lu3TlS | Alexandria via LeMat-Bulk | GGA-PBE | relaxed
data_Lu3TlS
_chemical_formula_sum 'Lu3 Tl1 S1'
_cell_length_a 5.035
_cell_length_b 5.035
_cell_length_c 5.035
_cell_angle_alpha 90.00
_cell_angle_beta 90.00
_cell_angle_gamma 90.00
_space_group_name_H-M_alt 'P m -3 m'
_space_group_IT_number 221
_space_group_name_Hall '-P 4 2 3'
loop_
_atom_site_label
_atom_site_type_symbol
_atom_site_fract_x
_atom_site_fract_y
_atom_site_fract_z
_atom_site_occupancy
Lu1 Lu 0.000 0.000 0.500 1
Tl1 Tl 0.500 0.500 0.500 1
S1 S 0.000 0.000 0.000 1
# Raw formation energy (eV per atom): -0.721
# Crystal system: cubic
# Theoretical density (g cm⁻³): 9.903

Record 6
# SrNi2Rh | Alexandria via LeMat-Bulk | GGA-PBE | relaxed
data_SrNi2Rh
_chemical_formula_sum 'Sr1 Ni2 Rh1'
_cell_length_a 3.104
_cell_length_b 3.104
_cell_length_c 7.029
_cell_angle_alpha 90.00
_cell_angle_beta 90.00
_cell_angle_gamma 90.00
_space_group_name_H-M_alt 'P 4 m m'
_space_group_IT_number 99
loop_
_space_group_symop_operation_xyz
'x,y,z'
'-y,x,z'
'-x,-y,z'
'y,-x,z'
'-x,y,z'
'y,x,z'
'x,-y,z'
'-y,-x,z'
loop_
_atom_site_label
_atom_site_type_symbol
_atom_site_fract_x
_atom_site_fract_y
_atom_site_fract_z
_atom_site_occupancy
Sr1 Sr 0.000 0.000 0.000 1
Ni1 Ni 0.000 0.000 0.482 1
Ni2 Ni 0.500 0.500 0.319 1
Rh1 Rh 0.500 0.500 0.680 1
# Crystal system: tetragonal
# ΔE_f (eV/atom): 0.254
# Theoretical density (g cm⁻³): 7.548

Number 1: magnetic moment 0.000 Bohr magnetons per cell. Number 2: magnetic moment 0.000 Bohr magnetons per cell. Number 3: magnetic moment 0.000 Bohr magnetons per cell. Number 4: magnetic moment 0.000 Bohr magnetons per cell. Number 5: magnetic moment 0.000 Bohr magnetons per cell. Number 6: magnetic moment 1.475 Bohr magnetons per cell.